# NiTe2RhI | Alexandria via LeMat-Bulk | PBE-GGA | relaxed
data_NiTe2RhI
_cell_length_a 5.173
_cell_length_b 5.173
_cell_length_c 5.473
_cell_angle_alpha 90.00
_cell_angle_beta 90.00
_cell_angle_gamma 90.00
_symmetry_space_group_name_H-M 'P 1'
_symmetry_Int_Tables_number 1
loop_
_symmetry_equiv_pos_as_xyz
'x,y,z'
loop_
_atom_site_label
_atom_site_type_symbol
_atom_site_fract_x
_atom_site_fract_y
_atom_site_fract_z
Ni1 Ni 0.000 0.000 0.000
Te1 Te 0.000 0.500 0.500
Te2 Te 0.500 0.000 0.500
Rh1 Rh 0.500 0.500 0.500
I1 I 0.500 0.500 0.000
# magnetization	1.5	μB per cell
# relative energy among the computed polymorphs	0.014	eV per atom
# E_form (uncorrected)	796	meV per atom

# RbTc2Te | Alexandria via LeMat-Bulk | PBE-GGA | relaxed
data_RbTc2Te
_cell_length_a 10.251
_cell_length_b 10.251
_cell_length_c 10.251
_cell_angle_alpha 152.18
_cell_angle_beta 152.18
_cell_angle_gamma 39.74
_symmetry_space_group_name_H-M 'P 1'
_symmetry_Int_Tables_number 1
loop_
_symmetry_equiv_pos_as_xyz
'x,y,z'
loop_
_atom_site_label
_atom_site_type_symbol
_atom_site_fract_x
_atom_site_fract_y
_atom_site_fract_z
Rb1 Rb 0.375 0.625 0.750
Rb2 Rb 0.625 0.375 0.250
Tc1 Tc 0.000 0.000 0.000
Tc2 Tc 0.000 0.000 0.500
Tc3 Tc 0.000 0.500 0.000
Tc4 Tc 0.500 0.000 0.500
Te1 Te 0.125 0.875 0.250
Te2 Te 0.875 0.125 0.750
# magnetization	3.2	μB per cell
# E_form (uncorrected)	879	meV per atom

# PuZr2Rh | Alexandria via LeMat-Bulk | PBE-GGA | relaxed
data_PuZr2Rh
_cell_length_a 4.980
_cell_length_b 4.980
_cell_length_c 3.213
_cell_angle_alpha 90.00
_cell_angle_beta 90.00
_cell_angle_gamma 90.00
_symmetry_space_group_name_H-M 'P 1'
_symmetry_Int_Tables_number 1
loop_
_symmetry_equiv_pos_as_xyz
'x,y,z'
loop_
_atom_site_label
_atom_site_type_symbol
_atom_site_fract_x
_atom_site_fract_y
_atom_site_fract_z
Pu1 Pu 0.000 0.000 0.000
Zr1 Zr 0.000 0.500 0.500
Zr2 Zr 0.500 0.000 0.500
Rh1 Rh 0.500 0.500 0.000
# magnetization	5.5	μB per cell
# relative energy among the computed polymorphs	0.098	eV per atom

# HfZr2HgO | Alexandria via LeMat-Bulk | PBE-GGA | relaxed
data_HfZr2HgO
_cell_length_a 4.605
_cell_length_b 4.605
_cell_length_c 4.266
_cell_angle_alpha 90.00
_cell_angle_beta 90.00
_cell_angle_gamma 90.00
_symmetry_space_group_name_H-M 'P 1'
_symmetry_Int_Tables_number 1
loop_
_symmetry_equiv_pos_as_xyz
'x,y,z'
loop_
_atom_site_label
_atom_site_type_symbol
_atom_site_fract_x
_atom_site_fract_y
_atom_site_fract_z
Hf1 Hf 0.000 0.000 0.000
Zr1 Zr 0.000 0.500 0.500
Zr2 Zr 0.500 0.000 0.500
Hg1 Hg 0.500 0.500 0.000
O1 O 0.000 0.000 0.500
# magnetization	0.0	μB per cell
# E_form (uncorrected)	-1052	meV per atom

# SrTcNi2 | Alexandria via LeMat-Bulk | PBE-GGA | relaxed
data_SrTcNi2
_cell_length_a 4.550
_cell_length_b 4.550
_cell_length_c 4.550
_cell_angle_alpha 60.00
_cell_angle_beta 60.00
_cell_angle_gamma 60.00
_symmetry_space_group_name_H-M 'P 1'
_symmetry_Int_Tables_number 1
loop_
_symmetry_equiv_pos_as_xyz
'x,y,z'
loop_
_atom_site_label
_atom_site_type_symbol
_atom_site_fract_x
_atom_site_fract_y
_atom_site_fract_z
Sr1 Sr 0.000 0.000 0.000
Tc1 Tc 0.250 0.250 0.250
Ni1 Ni 0.500 0.500 0.500
Ni2 Ni 0.750 0.750 0.750
# magnetization	2.7	μB per cell
# relative energy among the computed polymorphs	0.716	eV per atom

# LiTm2Pb5 | Alexandria via LeMat-Bulk | PBE-GGA | relaxed
data_LiTm2Pb5
_cell_length_a 6.616
_cell_length_b 6.616
_cell_length_c 6.616
_cell_angle_alpha 107.33
_cell_angle_beta 107.33
_cell_angle_gamma 113.85
_symmetry_space_group_name_H-M 'P 1'
_symmetry_Int_Tables_number 1
loop_
_symmetry_equiv_pos_as_xyz
'x,y,z'
loop_
_atom_site_label
_atom_site_type_symbol
_atom_site_fract_x
_atom_site_fract_y
_atom_site_fract_z
Li1 Li 0.000 0.000 0.000
Tm1 Tm 0.499 0.999 0.500
Tm2 Tm 0.999 0.499 0.500
Pb1 Pb 0.499 0.499 0.000
Pb2 Pb 0.500 0.500 0.500
Pb3 Pb 0.500 0.999 0.000
Pb4 Pb 0.999 0.500 0.000
Pb5 Pb 0.999 0.999 0.500
# magnetization	0.0	μB per cell
# uncorrected energy	-3.926	eV per atom

Q: Look up the magnetization of the fifth one.
A: 2.7 μB per cell